Ca4Pm3Se8: relaxed, GGA-PBE.

Properties
SG	R-3m
energy above the most stable polymorph in this dataset	126	meV/atom
raw formation energy	-1.802	eV per atom
DOS at the Fermi energy	4.114	states/eV/cell

Geometry as POSCAR:
```
Ca4Pm3Se8
1.0
4.1886 2.4183 7.5829
-4.1886 2.4183 7.5829
0.0000 -4.8366 7.5829
Ca Pm Se
4 3 8
direct
0.0000 0.0000 0.0000
0.1459 0.1459 0.1459
0.5000 0.5000 0.5000
0.8541 0.8541 0.8541
0.0000 0.5000 0.5000
0.5000 0.0000 0.5000
0.5000 0.5000 0.0000
0.2477 0.2477 0.7415
0.2477 0.7415 0.2477
0.2585 0.7523 0.7523
0.2653 0.2653 0.2653
0.7347 0.7347 0.7347
0.7415 0.2477 0.2477
0.7523 0.2585 0.7523
0.7523 0.7523 0.2585
```